A geometry-optimized NaGdMgFeO6 structure. Source: the Alexandria database, functional PBE+U.

The structure in POSCAR format:
```
NaGdMgFeO6
1.0
2.784 5.139 -0.019
-2.784 5.139 -0.019
0.000 3.082 4.774
O Gd Na Mg Fe
6 1 1 1 1
direct
0.145 0.746 0.395
0.746 0.145 0.395
0.545 0.054 0.074
0.373 0.373 0.465
0.627 0.627 0.612
0.054 0.545 0.074
0.145 0.145 0.414
0.634 0.634 0.012
0.407 0.407 0.779
0.824 0.824 0.281
```

The density of states at the Fermi level comes out at 0.15 states/eV/atom. The total magnetization is 2.219 μB per formula unit. The value obtained for the energy relative to the lowest polymorph listed for this composition is 50 meV per atom. For the raw total energy, the calculation gives -69.63 eV/cell. As for the density: 4.3 g/cm³. As for the volume: 136.9 Å³/f.u. The symmetry is No. 8.